# BaNbIrO6 (PBE, optimized geometry)
data_BaNbIrO6
_chemical_formula_sum 'Ba4 Nb4 Ir4 O24'
_space_group_name_H-M_alt 'I m m a'
_space_group_IT_number 74
_space_group_name_Hall '-I 2b 2'
_cell_length_a 7.108
_cell_length_b 7.461
_cell_length_c 10.435
_cell_angle_alpha 90.00
_cell_angle_beta 90.00
_cell_angle_gamma 90.00
loop_
_atom_site_label
_atom_site_type_symbol
_atom_site_fract_x
_atom_site_fract_y
_atom_site_fract_z
Ba1 Ba 0.000 0.250 0.085
Nb1 Nb 0.000 0.000 0.500
Ir1 Ir 0.250 0.250 0.750
O1 O 0.000 0.250 0.431
O2 O 0.000 0.250 0.820
O3 O 0.210 0.060 0.621
# Raw formation energy ... -16.90 eV/f.u.
# DOS(E_F) ... 2.752 states/eV/f.u.



# Ga6Ag12Sn (PBE, optimized geometry)
data_Ga6Ag12Sn
_chemical_formula_sum 'Ga18 Ag36 Sn3'
_space_group_name_H-M_alt 'R -3'
_space_group_IT_number 148
_space_group_name_Hall '-R 3'
_cell_length_a 12.7134
_cell_length_b 12.7134
_cell_length_c 7.3540
_cell_angle_alpha 90.00
_cell_angle_beta 90.00
_cell_angle_gamma 120.00
loop_
_atom_site_label
_atom_site_type_symbol
_atom_site_fract_x
_atom_site_fract_y
_atom_site_fract_z
Ga1 Ga 0.0305 0.7519 0.3355
Ag1 Ag 0.0110 0.8711 0.6620
Ag2 Ag 0.0657 0.5044 0.6688
Sn1 Sn 0.0000 0.0000 0.0000
# E above lowest polymorph ... 0.000 eV per atom
# DOS(E_F) ... 6.788 states/eV/f.u.



# Ba4AgPt2 (PBE, optimized geometry)
data_Ba4AgPt2
_chemical_formula_sum 'Ba16 Ag4 Pt8'
_space_group_name_H-M_alt 'P n m a'
_space_group_IT_number 62
_space_group_name_Hall '-P 2ac 2n'
_cell_length_a 14.112
_cell_length_b 4.624
_cell_length_c 16.761
_cell_angle_alpha 90.00
_cell_angle_beta 90.00
_cell_angle_gamma 90.00
loop_
_atom_site_label
_atom_site_type_symbol
_atom_site_fract_x
_atom_site_fract_y
_atom_site_fract_z
Ba1 Ba 0.025 0.250 0.213
Ba2 Ba 0.087 0.750 0.425
Ba3 Ba 0.125 0.250 0.971
Ba4 Ba 0.206 0.250 0.664
Ag1 Ag 0.242 0.750 0.830
Pt1 Pt 0.062 0.750 0.612
Pt2 Pt 0.083 0.750 0.097
# DOS(E_F) ... 4.686 states/eV/f.u.
# Electronic total energy ... -3.79 eV per atom



Looking at total magnetization for the records above, in order, we have 5.1; 0.0; 0.0 Bohr magnetons per cell.